Below is a geometry-optimized KRbBeH4 structure, with properties calculated at the PBE-GGA level.

Cell lengths 5.3528, 9.8451, 8.9081 Å; angles 90.00, 90.00, 90.00 degrees
Last column: nearest neighbours and their distance in Å.
Space group Cmcm (No. 63)
Asymmetric unit:
K 0.0000 0.1987 0.2500 (multiplicity 4)  8 H 2.74-3.03
Rb 0.0000 0.5000 0.0000 (multiplicity 4)  6 H 2.74-2.90
Be 0.0000 0.1380 0.7500 (multiplicity 4)  4 H 1.44-1.47
H 0.0000 0.2249 0.6156 (multiplicity 8)  1 Be 1.47
H 0.2195 0.0533 0.7500 (multiplicity 8)  1 Be 1.44

Values from the calculation:
- DOS(E_F) (states/eV per atom) = 0.00
- electronic total energy (eV per cell) = -84.5

***

Below is a geometry-optimized K3Rb4BeH8 structure, with properties calculated at the PBE-GGA level.

Cell lengths 14.1688, 7.8702, 7.9150 Å; angles 90.00, 123.52, 90.00 degrees
Last column: nearest neighbours and their distance in Å.
Space group C2/m (No. 12)
Asymmetric unit:
K 0.0000 0.0000 0.0000 (multiplicity 2)  6 H 2.86-3.00
K 0.2500 0.2500 0.5000 (multiplicity 4)  4 H 2.72
Rb 0.0000 0.0000 0.5000 (multiplicity 2)  2 H 2.82
Rb 0.0000 0.5000 0.5000 (multiplicity 2)  6 H 3.03-3.05
Rb 0.2500 0.2500 0.0000 (multiplicity 4)  6 H 2.86-3.14
Be 0.0000 0.5000 0.0000 (multiplicity 2)  4 H 1.65
H 0.0017 0.3515 0.8544 (multiplicity 8)  1 Be 1.65
H 0.2390 0.0000 0.7262 (multiplicity 4)  2 K 2.72, 3 Rb 2.82-2.87
H 0.2421 0.0000 0.2546 (multiplicity 4)  3 K 2.72-2.86, 3 Rb 2.86-3.05

Values from the calculation:
- DOS(E_F) (states/eV per atom) = 0.17
- electronic total energy (eV per cell) = -75.1

***

Below is a geometry-optimized KBeH6Rh structure, with properties calculated at the PBE-GGA level.

Cell lengths 4.3416, 4.3416, 5.7572 Å; angles 90.00, 90.00, 120.00 degrees
Last column: nearest neighbours and their distance in Å.
Space group P312 (No. 149)
Asymmetric unit:
K 0.0000 0.0000 0.0000 (multiplicity 1)  6 H 2.50
Be 0.3333 0.6667 0.5000 (multiplicity 1)  6 H 1.69
H 0.3626 0.0049 0.6618 (multiplicity 6)  1 Rh 1.66, 1 Be 1.69
Rh 0.6667 0.3333 0.5000 (multiplicity 1)  6 H 1.66

Values from the calculation:
- DOS(E_F) (states/eV per atom) = 0.00
- electronic total energy (eV per cell) = -34.1

***

Below is a geometry-optimized K2BeHS structure, with properties calculated at the PBE-GGA level.

Cell lengths 5.9744, 5.9744, 3.7508 Å; angles 90.00, 90.00, 90.00 degrees
Last column: nearest neighbours and their distance in Å.
Space group P4/mmm (No. 123)
Asymmetric unit:
K 0.0000 0.5000 0.0000 (multiplicity 2)  2 Be 2.99
Be 0.0000 0.0000 0.0000 (multiplicity 1)  2 S 1.88
H 0.5000 0.5000 0.5000 (multiplicity 1)  8 K 3.53, 2 H 3.75
S 0.0000 0.0000 0.5000 (multiplicity 1)  2 Be 1.88

Values from the calculation:
- DOS(E_F) (states/eV per atom) = 0.43
- electronic total energy (eV per cell) = -13.5

***

> Which of these has the highest DOS(E_F)?

K2BeHS